Material: Sr3Al4Zn
Method: DFT, PBE
State: optimized geometry

- Energy of formation from the pure elements: -0.23 eV/atom
- ρ: 3.2 g/cm³
- Magnetization: 0.00 μB per cell

POSCAR file:
```
Sr3Al4Zn
1.0
5.9033 0.0000 0.0000
0.0000 12.3306 0.0000
0.0000 0.0000 6.2076
Sr Al Zn
6 8 2
Cartesian
1.4758 0.0762 1.2072
1.4758 6.0891 1.2072
1.4758 9.2480 3.3262
4.4275 3.0827 2.8813
4.4275 6.2415 5.0003
4.4275 12.2544 5.0003
0.0440 9.2480 0.1854
1.4758 1.6745 4.2593
1.4758 4.4908 4.2593
2.9077 9.2480 0.1854
2.9956 3.0827 6.0222
4.4275 7.8398 1.9483
4.4275 10.6562 1.9483
5.8594 3.0827 6.0222
1.4758 3.0827 1.9845
4.4275 9.2480 4.2231
```